Entry w
VASP calculation (PBE) on PaBeIn after structural relaxation.

Results
Space group ... No. 216
Size of the total moment ... 0.023 μB/atom

Cell and atoms, written as POSCAR:
```
PaBeIn
1.0
-4.132 -1.658 0.729
-1.680 -0.111 4.186
-3.370 2.769 1.153
Be In Pa
1 1 1
Direct
0.000 0.000 0.000 Be
0.250 0.250 0.250 In
0.750 0.750 0.750 Pa
```



Entry x
VASP calculation (PBE) on PaBeIn after structural relaxation.

Results
Space group ... No. 216
Size of the total moment ... 0.003 μB/atom

Cell and atoms, written as POSCAR:
```
PaBeIn
1.0
3.439 1.766 2.898
-1.199 1.993 4.235
1.079 -2.267 4.128
Be In Pa
1 1 1
Direct
0.250 0.250 0.250 Be
0.750 0.750 0.750 In
0.000 0.000 0.000 Pa
```



The least stable of them is entry x.



Entry w
VASP calculation (PBE) on ScBeInPd after structural relaxation.

Results
Space group ... No. 216
Size of the total moment ... 0.000 μB/atom

Cell and atoms, written as POSCAR:
```
ScBeInPd
1.0
2.099 -3.571 1.881
-2.368 -2.971 2.502
-0.783 -4.192 -1.584
Sc In Be Pd
1 1 1 1
Direct
0.000 0.000 0.000 Sc
0.500 0.500 0.500 In
0.750 0.750 0.750 Be
0.250 0.250 0.250 Pd
```



Entry x
VASP calculation (PBE) on ScBeInPd after structural relaxation.

Results
Space group ... No. 216
Size of the total moment ... 0.000 μB/atom

Cell and atoms, written as POSCAR:
```
ScBeInPd
1.0
3.558 0.655 2.746
1.904 4.112 0.307
-0.481 2.447 3.795
Sc Pd Be In
1 1 1 1
Direct
0.000 0.000 0.000 Sc
0.500 0.500 0.500 Pd
0.750 0.750 0.750 Be
0.250 0.250 0.250 In
```



Entry y
VASP calculation (PBE) on ScBeInPd after structural relaxation.

Results
Space group ... No. 216
Size of the total moment ... 0.000 μB/atom

Cell and atoms, written as POSCAR:
```
ScBeInPd
1.0
0.000 3.224 3.224
3.224 0.000 3.224
3.224 3.224 0.000
Be In Pd Sc
1 1 1 1
Direct
0.750 0.750 0.750 Be
0.000 0.000 0.000 In
0.500 0.500 0.500 Pd
0.250 0.250 0.250 Sc
```



The least stable of them is entry y.



Entry w
VASP calculation (PBE) on YBeInPd after structural relaxation.

Results
Space group ... No. 216
Size of the total moment ... 0.000 μB/atom

Cell and atoms, written as POSCAR:
```
YBeInPd
1.0
0.000 3.326 3.326
3.326 0.000 3.326
3.326 3.326 0.000
In Pd Be Y
1 1 1 1
Direct
0.250 0.250 0.250 In
0.500 0.500 0.500 Pd
0.750 0.750 0.750 Be
0.000 0.000 0.000 Y
```



Entry x
VASP calculation (PBE) on YBeInPd after structural relaxation.

Results
Space group ... No. 216
Size of the total moment ... 0.000 μB/atom

Cell and atoms, written as POSCAR:
```
YBeInPd
1.0
1.661 1.238 4.230
-1.833 -1.903 3.899
2.520 -3.070 2.531
Be In Pd Y
1 1 1 1
Direct
0.750 0.750 0.750 Be
0.500 0.500 0.500 In
0.250 0.250 0.250 Pd
0.000 0.000 0.000 Y
```



The least stable of them is entry w.



Entry w
VASP calculation (PBE) on PmBeIn after structural relaxation.

Results
Space group ... No. 216
Size of the total moment ... 0.000 μB/atom

Cell and atoms, written as POSCAR:
```
PmBeIn
1.0
1.883 -2.915 3.016
-2.232 -3.840 1.187
1.549 -4.090 -1.417
Be In Pm
1 1 1
Direct
0.000 0.000 0.000 Be
0.250 0.250 0.250 In
0.750 0.750 0.750 Pm
```



Entry x
VASP calculation (PBE) on PmBeIn after structural relaxation.

Results
Space group ... No. 216
Size of the total moment ... 0.000 μB/atom

Cell and atoms, written as POSCAR:
```
PmBeIn
1.0
0.000 3.375 3.375
3.375 0.000 3.375
3.375 3.375 0.000
Pm In Be
1 1 1
Direct
0.000 0.000 0.000 Pm
0.250 0.250 0.250 In
0.500 0.500 0.500 Be
```



The least stable of them is entry x.